Entry 1:
A geometry-optimized Cu3Ag structure. Source: Alexandria via LeMat-Bulk, functional PBE.

abc: 4.2522 4.2522 4.2522
angles: 60.00 60.00 60.00
Last column: nearest neighbours and their distance in Å.
Fractional positions:
Cu1 0.7500 0.7500 0.7500  4 Cu 2.60, 4 Ag 2.60
Cu2 0.2500 0.2500 0.2500  4 Cu 2.60, 4 Ag 2.60
Cu3 0.5000 0.5000 0.5000  8 Cu 2.60
Ag1 0.0000 0.0000 0.0000  8 Cu 2.60

Calculated values
SG: Fm-3m, No. 225
DFT formation energy, kJ/mol of atoms: 12.3

---

Entry 2:
A geometry-optimized Ac3MnPd8 structure. Source: Alexandria via LeMat-Bulk, functional PBE.

abc: 5.6156 5.6156 9.6793
angles: 73.14 73.14 60.00
Last column: nearest neighbours and their distance in Å.
Fractional positions:
Pd1 0.8097 0.8097 0.5709  6 Pd 2.77-2.79
Pd2 0.0595 0.0595 0.3216  1 Mn 2.75, 6 Pd 2.79-2.82
Pd3 0.5621 0.0578 0.8179  6 Pd 2.77-2.83, 3 Ac 3.08-3.09
Pd4 0.3104 0.3104 0.0689  6 Pd 2.81-2.82
Pd5 0.5621 0.5621 0.8179  6 Pd 2.77-2.83, 3 Ac 3.08-3.09
Pd6 0.0578 0.5621 0.8179  6 Pd 2.77-2.83, 3 Ac 3.08-3.09
Pd7 0.0595 0.5594 0.3216  1 Mn 2.75, 6 Pd 2.79-2.82
Pd8 0.5594 0.0595 0.3216  1 Mn 2.75, 6 Pd 2.79-2.82
Ac1 0.0140 0.0140 0.9579  9 Pd 3.08-3.40
Ac2 0.4897 0.4897 0.5308  12 Pd 3.09-3.39, 3 Mn 3.26
Ac3 0.6210 0.6210 0.1370  12 Pd 3.27-3.32, 4 Ac 3.59-3.63
Mn1 0.1447 0.1447 0.5658  3 Pd 2.75

Calculated values
SG: R3m, No. 160
DFT formation energy, kJ/mol of atoms: -59.4

---

Entry 3:
A geometry-optimized CaMg4Cd4 structure. Source: Alexandria via LeMat-Bulk, functional PBE.

abc: 4.2517 9.9402 9.9402
angles: 90.00 90.00 90.00
Last column: nearest neighbours and their distance in Å.
Fractional positions:
Cd1 0.0000 0.3253 0.3253  2 Cd 3.00, 6 Mg 3.18-3.24, 2 Ca 3.25
Cd2 0.5000 0.8253 0.8253  2 Cd 3.00, 6 Mg 3.18-3.24, 2 Ca 3.25
Cd3 0.0000 0.3253 0.6747  2 Cd 3.00, 6 Mg 3.18-3.24, 2 Ca 3.25
Cd4 0.0000 0.6747 0.3253  2 Cd 3.00, 6 Mg 3.18-3.24, 2 Ca 3.25
Cd5 0.5000 0.1747 0.1747  2 Cd 3.00, 6 Mg 3.18-3.24, 2 Ca 3.25
Cd6 0.0000 0.6747 0.6747  2 Cd 3.00, 6 Mg 3.18-3.24, 2 Ca 3.25
Cd7 0.5000 0.8253 0.1747  2 Cd 3.00, 6 Mg 3.18-3.24, 2 Ca 3.25
Cd8 0.5000 0.1747 0.8253  2 Cd 3.00, 6 Mg 3.18-3.24, 2 Ca 3.25
Mg1 0.9998 0.3366 0.0000  5 Mg 3.13-3.25, 6 Cd 3.18-3.24, 1 Ca 3.35
Mg2 0.0002 0.0000 0.6634  5 Mg 3.13-3.25, 6 Cd 3.18-3.24, 1 Ca 3.35
Mg3 0.4998 0.5000 0.1634  5 Mg 3.13-3.25, 6 Cd 3.18-3.24, 1 Ca 3.35
Mg4 0.4998 0.5000 0.8366  5 Mg 3.13-3.25, 6 Cd 3.18-3.24, 1 Ca 3.35
Mg5 0.0002 0.0000 0.3366  5 Mg 3.13-3.25, 6 Cd 3.18-3.24, 1 Ca 3.35
Mg6 0.5002 0.8366 0.5000  5 Mg 3.13-3.25, 6 Cd 3.18-3.24, 1 Ca 3.35
Mg7 0.5002 0.1634 0.5000  5 Mg 3.13-3.25, 6 Cd 3.18-3.24, 1 Ca 3.35
Mg8 0.9998 0.6634 0.0000  5 Mg 3.13-3.25, 6 Cd 3.18-3.24, 1 Ca 3.35
Ca1 0.0000 0.0000 0.0000  8 Cd 3.25, 4 Mg 3.35
Ca2 0.5000 0.5000 0.5000  8 Cd 3.25, 4 Mg 3.35

Calculated values
SG: I4/mmm, No. 139
DFT formation energy, kJ/mol of atoms: -12.4

---

Entry 4:
A geometry-optimized CaCd2Br structure. Source: Alexandria via LeMat-Bulk, functional PBE.

abc: 5.8762 5.8762 5.8762
angles: 131.83 131.83 70.50
Last column: nearest neighbours and their distance in Å.
Fractional positions:
Ca1 0.7500 0.2500 0.5000  8 Cd 3.39, 4 Br 3.39
Cd1 0.0000 0.0000 0.0000  4 Br 3.39, 4 Cd 3.39, 4 Ca 3.39
Cd2 0.2500 0.7500 0.5000  4 Ca 3.39, 4 Br 3.39, 4 Cd 3.39
Br1 0.5000 0.5000 0.0000  8 Cd 3.39, 4 Ca 3.39

Calculated values
SG: I-4m2, No. 119
Distance to the lowest polymorph of the same formula, meV/atom: 177.7

---

Entry 5:
A geometry-optimized B5C7 structure. Source: Alexandria via LeMat-Bulk, functional PBE.

abc: 2.4953 2.4737 12.6214
angles: 90.00 90.00 90.00
Last column: nearest neighbours and their distance in Å.
Fractional positions:
B1 0.5000 0.0000 0.5651  4 C 1.61-1.67
B2 0.5000 0.5000 0.8358  4 B 1.81-1.83
B3 0.5000 0.5000 0.1787  4 C 1.65
B4 0.0000 0.5000 0.7302  2 C 1.63, 2 B 1.83
B5 0.5000 0.0000 0.9402  2 C 1.66, 2 B 1.81
C1 0.0000 0.0000 0.0267  2 C 1.49, 2 B 1.66
C2 0.0000 0.5000 0.4090  4 C 1.51-1.56
C3 0.0000 0.0000 0.3334  4 C 1.51-1.56
C4 0.5000 0.5000 0.4767  2 C 1.51, 2 B 1.67
C5 0.5000 0.0000 0.2656  2 C 1.51, 2 B 1.65
C6 0.0000 0.5000 0.0927  2 C 1.49, 2 B 1.65
C7 0.0000 0.0000 0.6460  4 B 1.61-1.63

Calculated values
SG: Pmm2, No. 25
DFT formation energy, kJ/mol of atoms: 32.4
Distance to the lowest polymorph of the same formula, meV/atom: 78.2

---

Entry 6:
A geometry-optimized HoPa3N2O6 structure. Source: Alexandria via LeMat-Bulk, functional PBE.

abc: 4.5465 7.0118 6.8047
angles: 121.01 91.16 90.00
Last column: nearest neighbours and their distance in Å.
Fractional positions:
Pa1 0.5000 0.5000 0.5000  4 O 2.18-2.25, 2 N 2.26
Pa2 0.0000 0.5000 0.0000  2 N 2.25, 4 O 2.31
Pa3 0.5000 0.0000 0.5000  4 O 2.18-2.25, 2 N 2.26
O1 0.7016 0.8309 0.6618  2 Pa 2.18, 1 Ho 2.19
O2 0.7483 0.3383 0.1705  2 Pa 2.25-2.31, 1 Ho 2.31
O3 0.2517 0.6617 0.8295  2 Pa 2.25-2.31, 1 Ho 2.31
O4 0.2984 0.1691 0.3382  2 Pa 2.18, 1 Ho 2.19
O5 0.2517 0.1679 0.8295  2 Pa 2.25-2.31, 1 Ho 2.31
O6 0.7483 0.8321 0.1705  2 Pa 2.25-2.31, 1 Ho 2.31
Ho1 0.5000 0.0000 0.0000  6 O 2.19-2.31
N1 0.2697 0.6638 0.3276  3 Pa 2.25-2.26
N2 0.7303 0.3362 0.6724  3 Pa 2.25-2.26

Calculated values
SG: C2/m, No. 12
Calculated total energy, eV per atom: -9.56

---

Entry 7:
A geometry-optimized SmEr2InRh4 structure. Source: Alexandria via LeMat-Bulk, functional PBE.

abc: 4.7833 4.7833 8.2602
angles: 73.17 73.17 60.00
Last column: nearest neighbours and their distance in Å.
Fractional positions:
Rh1 0.3773 0.3773 0.8681  1 In 2.87, 3 Sm 2.95, 4 Er 2.96-3.11
Rh2 0.1248 0.1248 0.6257  4 Er 2.79-2.88, 1 Sm 2.91, 3 In 2.93
Rh3 0.6227 0.6227 0.1319  1 In 2.87, 3 Sm 2.95, 4 Er 2.96-3.11
Rh4 0.8752 0.8752 0.3743  4 Er 2.79-2.88, 1 Sm 2.91, 3 In 2.93
Er1 0.7559 0.7559 0.7324  8 Rh 2.79-3.11
Er2 0.2441 0.2441 0.2676  8 Rh 2.79-3.11
Sm1 0.0000 0.0000 0.0000  8 Rh 2.91-2.95
In1 0.5000 0.5000 0.5000  8 Rh 2.87-2.93

Calculated values
SG: R-3m, No. 166
DFT formation energy, kJ/mol of atoms: -76.1

---

Entry 8:
A geometry-optimized Hg2GeF8 structure. Source: Alexandria via LeMat-Bulk, functional PBE.

abc: 4.7220 6.0455 6.0455
angles: 75.93 84.58 84.58
Last column: nearest neighbours and their distance in Å.
Fractional positions:
F1 0.3210 0.8664 0.8664  1 Ge 1.86
F2 0.1500 0.9358 0.2780  1 Ge 1.83
F3 0.1500 0.2780 0.9358  1 Ge 1.83
F4 0.8500 0.0642 0.7220  1 Ge 1.83
F5 0.2730 0.4079 0.4079  3 Hg 2.25-2.46
F6 0.8500 0.7220 0.0642  1 Ge 1.83
F7 0.7270 0.5921 0.5921  3 Hg 2.25-2.46
F8 0.6790 0.1336 0.1336  1 Ge 1.86
Ge1 0.0000 0.0000 0.0000  6 F 1.83-1.86
Hg1 0.7953 0.3550 0.3550  6 F 2.24-2.49
Hg2 0.2047 0.6450 0.6450  6 F 2.24-2.49

Calculated values
SG: C2/m, No. 12
Distance to the lowest polymorph of the same formula, meV/atom: 7.8

---

Entry 9:
A geometry-optimized Cu3BRh structure. Source: Alexandria via LeMat-Bulk, functional PBE.

abc: 4.6181 4.6181 4.6181
angles: 90.00 90.00 90.00
Last column: nearest neighbours and their distance in Å.
Fractional positions:
Cu1 0.5000 0.0000 0.0000  2 Rh 2.31
Cu2 0.0000 0.5000 0.0000  2 Rh 2.31
Cu3 0.0000 0.0000 0.5000  2 Rh 2.31
B1 0.5000 0.5000 0.5000  12 Cu 3.27
Rh1 0.0000 0.0000 0.0000  6 Cu 2.31

Calculated values
SG: Pm-3m, No. 221
DFT formation energy, kJ/mol of atoms: 181.4
Distance to the lowest polymorph of the same formula, meV/atom: 1552.7

---

Entry 10:
A geometry-optimized TbSm5Er5 structure. Source: Alexandria via LeMat-Bulk, functional PBE.

abc: 6.0618 6.0618 11.7162
angles: 90.00 90.00 120.00
Last column: nearest neighbours and their distance in Å.
Fractional positions:
Sm1 0.6667 0.3333 0.1536  7 Sm 3.60-3.99, 3 Er 3.74, 3 Tb 3.94
Sm2 0.6667 0.3333 0.8464  7 Sm 3.60-3.99, 3 Er 3.74, 3 Tb 3.94
Sm3 0.3333 0.6667 0.3166  9 Er 3.55-3.72, 1 Tb 3.71
Sm4 0.0000 0.0000 0.0000  2 Er 3.11
Sm5 0.3333 0.6667 0.6834  9 Er 3.55-3.72, 1 Tb 3.71
Er1 0.8332 0.1668 0.5000  6 Er 3.03-3.26
Er2 0.3336 0.1668 0.5000  6 Er 3.03-3.26
Er3 0.0000 0.0000 0.2658  1 Sm 3.11, 3 Er 3.26
Er4 0.8332 0.6664 0.5000  6 Er 3.03-3.26
Er5 0.0000 0.0000 0.7342  1 Sm 3.11, 3 Er 3.26
Tb1 0.3333 0.6667 0.0000  5 Sm 3.50-3.71

Calculated values
SG: P-6m2, No. 187
DFT formation energy, kJ/mol of atoms: 29.3

---

Entry 11:
A geometry-optimized AlPbW2 structure. Source: Alexandria via LeMat-Bulk, functional PBE.

abc: 2.9309 2.9309 9.8011
angles: 90.00 90.00 111.75
Last column: nearest neighbours and their distance in Å.
Fractional positions:
Al1 0.0000 0.0000 0.4592  2 W 2.69, 4 Al 2.93
W1 0.5000 0.5000 0.2423  6 W 2.62-2.93, 2 Al 2.69
W2 0.0000 0.0000 0.0342  6 W 2.62-2.93
Pb1 0.5000 0.5000 0.7644  4 Pb 2.93, 2 W 3.11

Calculated values
SG: Cmm2, No. 35
DFT formation energy, kJ/mol of atoms: 50.2
Distance to the lowest polymorph of the same formula, meV/atom: 137.4